1.
{
  "formula": "TmAg2Hg3",
  "functional": "PBE",
  "state": "relaxed",
  "cell": [[10.633, -1.816, 0.000], [10.633, 1.816, 0.000], [-0.882, 0.000, 7.074]],
  "species": ["Tm", "Tm", "Ag", "Ag", "Ag", "Ag", "Hg", "Hg", "Hg", "Hg", "Hg", "Hg"],
  "fractional_positions": [[0.100, 0.100, 0.060], [0.900, 0.900, 0.940], [0.197, 0.197, 0.468], [0.491, 0.491, 0.195], [0.509, 0.509, 0.805], [0.803, 0.803, 0.532], [0.065, 0.065, 0.466], [0.280, 0.280, 0.839], [0.352, 0.352, 0.249], [0.648, 0.648, 0.751], [0.720, 0.720, 0.161], [0.935, 0.935, 0.534]],
  "formation_enthalpy_0k_kj_per_mol_atoms": -11,
  "total_magnetization_mub_per_fu": 0.00
}



2.
{
  "formula": "TmAg2Hg",
  "functional": "PBE",
  "state": "relaxed",
  "cell": [[4.440, 0.000, 0.000], [0.000, 4.440, 0.000], [0.000, 0.000, 4.405]],
  "species": ["Tm", "Ag", "Ag", "Hg"],
  "fractional_positions": [[0.000, 0.000, 0.000], [0.000, 0.500, 0.500], [0.500, 0.000, 0.500], [0.500, 0.500, 0.000]],
  "formation_enthalpy_0k_kj_per_mol_atoms": -17,
  "total_magnetization_mub_per_fu": 0.00
}



3.
{
  "formula": "TmAg3Hg2",
  "functional": "PBE",
  "state": "relaxed",
  "cell": [[3.315, -4.098, 0.000], [3.315, 4.098, 0.000], [-3.206, 0.000, 9.137]],
  "species": ["Tm", "Tm", "Ag", "Ag", "Ag", "Ag", "Ag", "Ag", "Hg", "Hg", "Hg", "Hg"],
  "fractional_positions": [[0.128, 0.872, 0.750], [0.872, 0.128, 0.250], [0.208, 0.455, 0.923], [0.384, 0.616, 0.250], [0.455, 0.208, 0.423], [0.545, 0.792, 0.577], [0.616, 0.384, 0.750], [0.792, 0.545, 0.077], [0.035, 0.292, 0.590], [0.292, 0.035, 0.090], [0.708, 0.965, 0.910], [0.965, 0.708, 0.410]],
  "formation_enthalpy_0k_kj_per_mol_atoms": -15,
  "total_magnetization_mub_per_fu": 0.00
}



4.
{
  "formula": "Tm4AgHg2",
  "functional": "PBE",
  "state": "relaxed",
  "cell": [[2.449, 1.414, 9.519], [-2.449, 1.414, 9.519], [0.000, -2.828, 9.519]],
  "species": ["Tm", "Tm", "Tm", "Tm", "Ag", "Hg", "Hg"],
  "fractional_positions": [[0.121, 0.121, 0.121], [0.296, 0.296, 0.296], [0.704, 0.704, 0.704], [0.879, 0.879, 0.879], [0.500, 0.500, 0.500], [0.401, 0.401, 0.401], [0.599, 0.599, 0.599]],
  "polymorph_energy_mev_per_atom": 152.1,
  "formation_enthalpy_0k_kj_per_mol_atoms": -12,
  "total_magnetization_mub_per_fu": 0.00
}



5.
{
  "formula": "TmAg4Hg",
  "functional": "PBE",
  "state": "relaxed",
  "cell": [[3.133, 0.000, 0.000], [0.000, 4.909, 0.000], [-0.776, 0.000, 8.092]],
  "species": ["Tm", "Ag", "Ag", "Ag", "Ag", "Hg"],
  "fractional_positions": [[0.000, 0.000, 0.000], [0.341, 0.000, 0.663], [0.498, 0.500, 0.171], [0.502, 0.500, 0.829], [0.659, 0.000, 0.337], [0.000, 0.500, 0.500]],
  "polymorph_energy_mev_per_atom": 102.1,
  "formation_enthalpy_0k_kj_per_mol_atoms": -4,
  "total_magnetization_mub_per_fu": 0.00
}



6.
{
  "formula": "Tm8Ag2Hg",
  "functional": "PBE",
  "state": "relaxed",
  "cell": [[8.788, -2.555, 0.000], [8.788, 2.555, 0.000], [-2.077, 0.000, 6.640]],
  "species": ["Tm", "Tm", "Tm", "Tm", "Tm", "Tm", "Tm", "Tm", "Ag", "Ag", "Hg"],
  "fractional_positions": [[0.029, 0.029, 0.271], [0.198, 0.198, 0.814], [0.330, 0.330, 0.526], [0.406, 0.406, 0.036], [0.594, 0.594, 0.964], [0.670, 0.670, 0.474], [0.802, 0.802, 0.186], [0.971, 0.971, 0.729], [0.184, 0.184, 0.213], [0.816, 0.816, 0.787], [0.500, 0.500, 0.500]],
  "formation_enthalpy_0k_kj_per_mol_atoms": -17,
  "total_magnetization_mub_per_fu": 0.00
}



7.
{
  "formula": "Tm2AgHg4",
  "functional": "PBE",
  "state": "relaxed",
  "cell": [[6.846, 0.000, 0.000], [0.000, 13.229, 0.000], [0.000, 0.000, 3.869]],
  "species": ["Tm", "Tm", "Tm", "Tm", "Ag", "Ag", "Hg", "Hg", "Hg", "Hg", "Hg", "Hg", "Hg", "Hg"],
  "fractional_positions": [[0.212, 0.117, 0.000], [0.288, 0.617, 0.000], [0.712, 0.383, 0.000], [0.788, 0.883, 0.000], [0.000, 0.500, 0.500], [0.500, 0.000, 0.500], [0.009, 0.733, 0.500], [0.230, 0.890, 0.000], [0.270, 0.390, 0.000], [0.491, 0.233, 0.500], [0.509, 0.767, 0.500], [0.730, 0.610, 0.000], [0.770, 0.110, 0.000], [0.991, 0.267, 0.500]],
  "polymorph_energy_mev_per_atom": 78.9,
  "formation_enthalpy_0k_kj_per_mol_atoms": -17,
  "total_magnetization_mub_per_fu": 0.00
}



8.
{
  "formula": "TmAg4Hg",
  "functional": "PBE",
  "state": "relaxed",
  "cell": [[0.000, 3.931, 3.931], [3.931, 0.000, 3.931], [3.931, 3.931, 0.000]],
  "species": ["Tm", "Ag", "Ag", "Ag", "Ag", "Hg"],
  "fractional_positions": [[0.000, 0.000, 0.000], [0.125, 0.625, 0.625], [0.625, 0.125, 0.625], [0.625, 0.625, 0.125], [0.625, 0.625, 0.625], [0.250, 0.250, 0.250]],
  "polymorph_energy_mev_per_atom": 0.0,
  "formation_enthalpy_0k_kj_per_mol_atoms": -14,
  "total_magnetization_mub_per_fu": 0.00
}



9.
{
  "formula": "TmAgHg",
  "functional": "PBE",
  "state": "relaxed",
  "cell": [[3.786, 0.000, 0.000], [0.000, 3.786, 0.000], [0.000, 0.000, 9.348]],
  "species": ["Tm", "Tm", "Ag", "Ag", "Hg", "Hg"],
  "fractional_positions": [[0.000, 0.000, 0.000], [0.500, 0.500, 0.500], [0.000, 0.000, 0.333], [0.500, 0.500, 0.833], [0.000, 0.000, 0.671], [0.500, 0.500, 0.171]],
  "formation_enthalpy_0k_kj_per_mol_atoms": -32,
  "total_magnetization_mub_per_fu": 0.00
}



10.
{
  "formula": "Tm4AgHg7",
  "functional": "PBE",
  "state": "relaxed",
  "cell": [[6.384, -2.647, 0.000], [6.384, 2.647, 0.000], [-5.412, 0.000, 9.090]],
  "species": ["Tm", "Tm", "Tm", "Tm", "Ag", "Hg", "Hg", "Hg", "Hg", "Hg", "Hg", "Hg"],
  "fractional_positions": [[0.080, 0.080, 0.276], [0.235, 0.235, 0.815], [0.765, 0.765, 0.185], [0.920, 0.920, 0.724], [0.500, 0.500, 0.500], [0.000, 0.000, 0.500], [0.141, 0.141, 0.035], [0.306, 0.306, 0.581], [0.425, 0.425, 0.161], [0.575, 0.575, 0.839], [0.694, 0.694, 0.419], [0.859, 0.859, 0.965]],
  "formation_enthalpy_0k_kj_per_mol_atoms": -22,
  "total_magnetization_mub_per_fu": 0.00
}



11.
{
  "formula": "Tm3Ag2Hg4",
  "functional": "PBE",
  "state": "relaxed",
  "cell": [[4.537, -2.558, 0.000], [4.537, 2.558, 0.000], [-1.188, 0.000, 8.887]],
  "species": ["Tm", "Tm", "Tm", "Ag", "Ag", "Hg", "Hg", "Hg", "Hg"],
  "fractional_positions": [[0.000, 0.000, 0.000], [0.369, 0.369, 0.274], [0.631, 0.631, 0.726], [0.283, 0.283, 0.596], [0.717, 0.717, 0.404], [0.045, 0.045, 0.342], [0.322, 0.322, 0.922], [0.678, 0.678, 0.078], [0.955, 0.955, 0.658]],
  "polymorph_energy_mev_per_atom": 0.0,
  "formation_enthalpy_0k_kj_per_mol_atoms": -34,
  "total_magnetization_mub_per_fu": 0.00
}



12.
{
  "formula": "Tm5Ag4Hg",
  "functional": "PBE",
  "state": "relaxed",
  "cell": [[3.594, 0.000, 0.000], [0.000, 3.594, 0.000], [0.000, 0.000, 18.124]],
  "species": ["Tm", "Tm", "Tm", "Tm", "Tm", "Ag", "Ag", "Ag", "Ag", "Hg"],
  "fractional_positions": [[0.000, 0.000, 0.000], [0.000, 0.000, 0.199], [0.000, 0.000, 0.397], [0.000, 0.000, 0.603], [0.000, 0.000, 0.801], [0.500, 0.500, 0.099], [0.500, 0.500, 0.298], [0.500, 0.500, 0.702], [0.500, 0.500, 0.901], [0.500, 0.500, 0.500]],
  "formation_enthalpy_0k_kj_per_mol_atoms": -36,
  "total_magnetization_mub_per_fu": 0.00
}